## Cr2SiIr (PBEsol)

Data for an optimized crystal structure of Cr2SiIr.

For the uncorrected formation energy, the calculation gives -82 meV/atom. The calculation puts the total energy at -9.096 eV/atom. As for the crystal system: trigonal. The calculated volume comes out at 49.2 Å³ per cell.

a = 2.629 Å, b = 2.629 Å, c = 8.366 Å
α = 80.96°, β = 80.96°, γ = 60.00°
Atoms (fractional coordinates):
Cr 0.252 0.252 0.244
Cr 0.748 0.748 0.756
Ir 0.500 0.500 0.500
Si 0.000 0.000 0.000